(1)
The following is a GGA-PBEsol calculation of crystalline MnNCl3 at its relaxed geometry, from Alexandria.

a b c (Å): 4.6720 4.6720 4.6720
angles (deg): 90.00 90.00 90.00
Space group Pm-3m (No. 221)
Inequivalent atoms, fractional coordinates:
Mn1 0.0000 0.0000 0.0000 x1
N1 0.5000 0.5000 0.5000 x1
Cl1 0.0000 0.0000 0.5000 x3

Summary:
* total moment: 6.99 μB/f.u.
* formation energy from raw total energies: 0.452 eV per atom

(2)
The following is a GGA-PBEsol calculation of crystalline MnSN2Cl at its relaxed geometry, from Alexandria.

a b c (Å): 3.5345 3.5345 5.0272
angles (deg): 90.00 90.00 90.00
Space group P4/mmm (No. 123)
Inequivalent atoms, fractional coordinates:
Mn1 0.0000 0.0000 0.0000 x1
S1 0.0000 0.0000 0.5000 x1
N1 0.0000 0.5000 0.0000 x2
Cl1 0.5000 0.5000 0.5000 x1

Summary:
* total moment: 0.00 μB/f.u.
* formation energy from raw total energies: 0.605 eV per atom

(3)
The following is a GGA-PBEsol calculation of crystalline NaMnCl3 at its relaxed geometry, from Alexandria.

a b c (Å): 4.8769 4.8769 4.8769
angles (deg): 90.00 90.00 90.00
Space group Pm-3m (No. 221)
Inequivalent atoms, fractional coordinates:
Na1 0.0000 0.0000 0.0000 x1
Mn1 0.5000 0.5000 0.5000 x1
Cl1 0.0000 0.0000 0.5000 x3

Summary:
* total moment: 4.98 μB/f.u.
* formation energy from raw total energies: -0.370 eV per atom

(4)
The following is a GGA-PBEsol calculation of crystalline Na2Mn3Cl8 at its relaxed geometry, from Alexandria.

a b c (Å): 7.3436 7.3436 19.4539
angles (deg): 90.00 90.00 120.00
Space group R-3m (No. 166, hexagonal axes)
Inequivalent atoms, fractional coordinates:
Na1 0.0000 0.0000 0.1590 x6
Mn1 0.0000 0.5000 0.0000 x9
Cl1 0.0000 0.0000 0.4045 x6
Cl2 0.0161 0.5081 0.4054 x18

Summary:
* total moment: 15.00 μB/f.u.
* formation energy from raw total energies: -1.229 eV per atom

(5)
The following is a GGA-PBEsol calculation of crystalline Na2MnCl4 at its relaxed geometry, from Alexandria.

a b c (Å): 6.8830 11.7381 3.8066
angles (deg): 90.00 90.00 90.00
Space group Pbam (No. 55)
Inequivalent atoms, fractional coordinates:
Na1 0.0861 0.1803 0.0000 x4
Mn1 0.0000 0.5000 0.5000 x2
Cl1 0.1215 0.6965 0.5000 x4
Cl2 0.2366 0.4548 0.0000 x4

Summary:
* total moment: 5.00 μB/f.u.
* formation energy from raw total energies: -1.443 eV per atom

(6)
The following is a GGA-PBEsol calculation of crystalline RbNa2Mn3P4ClO14 at its relaxed geometry, from Alexandria.

a b c (Å): 21.0280 5.2300 13.7754
angles (deg): 90.00 119.19 90.00
Space group C2/c (No. 15)
Inequivalent atoms, fractional coordinates:
Rb1 0.0000 0.0000 0.0000 x4
Na1 0.2209 0.0263 0.1524 x8
Mn1 0.0000 0.4389 0.7500 x4
Mn2 0.1560 0.0108 0.8436 x8
P1 0.1180 0.4949 0.6712 x8
P2 0.1581 0.4850 0.4924 x8
Cl1 0.0000 0.0372 0.2500 x4
O1 0.0391 0.4966 0.1463 x8
O2 0.1072 0.4492 0.0479 x8
O3 0.1194 0.3661 0.8824 x8
O4 0.1538 0.2323 0.7072 x8
O5 0.1569 0.1956 0.4761 x8
O6 0.1667 0.2903 0.2467 x8
O7 0.2329 0.4097 0.0740 x8

Summary:
* total moment: 15.00 μB/f.u.
* formation energy from raw total energies: -2.037 eV per atom

(7)
The following is a GGA-PBEsol calculation of crystalline MnNbSCl2 at its relaxed geometry, from Alexandria.

a b c (Å): 4.8669 4.8669 4.7632
angles (deg): 90.00 90.00 90.00
Space group P4/mmm (No. 123)
Inequivalent atoms, fractional coordinates:
Mn1 0.0000 0.0000 0.0000 x1
Nb1 0.5000 0.5000 0.5000 x1
S1 0.5000 0.5000 0.0000 x1
Cl1 0.0000 0.5000 0.5000 x2

Summary:
* total moment: 5.74 μB/f.u.
* formation energy from raw total energies: -0.082 eV per atom

(8)
The following is a GGA-PBEsol calculation of crystalline Mn5P3ClO12 at its relaxed geometry, from Alexandria.

a b c (Å): 9.5165 9.5165 6.1308
angles (deg): 90.00 90.00 120.00
Space group P6_3/m (No. 176)
Inequivalent atoms, fractional coordinates:
Mn1 0.0366 0.7598 0.2500 x6
Mn2 0.3333 0.6667 0.5065 x4
P1 0.0245 0.4068 0.2500 x6
Cl1 0.0000 0.0000 0.2500 x2
O1 0.0725 0.3416 0.0485 x12
O2 0.1393 0.5972 0.2500 x6
O3 0.1541 0.6372 0.7500 x6

Summary:
* total moment: 25.00 μB/f.u.
* formation energy from raw total energies: -1.791 eV per atom

(9)
The following is a GGA-PBEsol calculation of crystalline Rb2MnV2Cl2O6 at its relaxed geometry, from Alexandria.

a b c (Å): 5.5115 17.1712 5.0994
angles (deg): 90.00 91.58 90.00
Space group Cm (No. 8)
Inequivalent atoms, fractional coordinates:
Rb1 0.0000 0.1274 0.0000 x4
Mn1 0.0261 0.5000 0.5502 x2
V1 0.0074 0.2995 0.4743 x4
Cl1 0.0489 0.5000 0.0562 x2
Cl2 0.0900 0.0000 0.5224 x2
O1 0.9997 0.2977 0.1549 x4
O2 0.1019 0.3882 0.5748 x4
O3 0.2110 0.2240 0.5860 x4

Summary:
* total moment: 5.00 μB/f.u.
* formation energy from raw total energies: -2.059 eV per atom

(10)
The following is a GGA-PBEsol calculation of crystalline MnReCl2O at its relaxed geometry, from Alexandria.

a b c (Å): 4.4208 4.4208 5.2904
angles (deg): 90.00 90.00 90.00
Space group P4/mmm (No. 123)
Inequivalent atoms, fractional coordinates:
Mn1 0.0000 0.0000 0.0000 x1
Re1 0.0000 0.0000 0.5000 x1
Cl1 0.0000 0.5000 0.5000 x2
O1 0.5000 0.5000 0.0000 x1

Summary:
* total moment: 5.59 μB/f.u.
* formation energy from raw total energies: 0.910 eV per atom

(11)
The following is a GGA-PBEsol calculation of crystalline YMn3Se2ClO8 at its relaxed geometry, from Alexandria.

a b c (Å): 6.4003 9.5923 7.1639
angles (deg): 90.00 90.00 90.00
Space group Pmmn (No. 59, origin choice 2)
Inequivalent atoms, fractional coordinates:
Y1 0.2500 0.2500 0.2239 x2
Mn1 0.0000 0.0000 0.5000 x4
Mn2 0.2500 0.2500 0.7076 x2
Se1 0.2500 0.5650 0.9235 x4
Cl1 0.2500 0.7500 0.3687 x2
O1 0.0411 0.5910 0.7735 x8
O2 0.2500 0.1155 0.4894 x4
O3 0.2500 0.1172 0.9283 x4

Summary:
* total moment: 14.99 μB/f.u.
* formation energy from raw total energies: -1.437 eV per atom

(12)
The following is a GGA-PBEsol calculation of crystalline Mn4SiTeCl2O7 at its relaxed geometry, from Alexandria.

a b c (Å): 5.4371 6.3334 12.5539
angles (deg): 90.00 94.11 90.00
Space group P2_1/m (No. 11)
Inequivalent atoms, fractional coordinates:
Mn1 0.0095 0.2500 0.3308 x2
Mn2 0.1403 0.2500 0.8284 x2
Mn3 0.3654 0.0038 0.1468 x4
Si1 0.1520 0.7500 0.9370 x2
Te1 0.2988 0.7500 0.3634 x2
Cl1 0.1431 0.2500 0.5146 x2
Cl2 0.4269 0.7500 0.6694 x2
O1 0.1051 0.5436 0.2804 x4
O2 0.1382 0.2500 0.1099 x2
O3 0.1684 0.7500 0.0696 x2
O4 0.2871 0.5333 0.8988 x4
O5 0.4817 0.2500 0.7523 x2

Summary:
* total moment: 20.00 μB/f.u.
* formation energy from raw total energies: -1.474 eV per atom